## Rb2LiNiO (PBE with a Hubbard U)

Data for a geometry-optimized Rb2LiNiO structure.

Cell lengths 6.0133, 6.0133, 3.6887 Å; angles 90.00, 90.00, 90.00 degrees
With the nearest neighbours (Å) after each atom.
Space group P4/mmm (No. 123)
Unique sites:
Rb 0.0000 0.5000 0.0000 (multiplicity 2)  2 O 3.01
Li 0.0000 0.0000 0.5000 (multiplicity 1)  2 O 1.84
Ni 0.5000 0.5000 0.5000 (multiplicity 1)  8 Rb 3.53, 2 Ni 3.69
O 0.0000 0.0000 0.0000 (multiplicity 1)  2 Li 1.84

Values from the calculation:
uncorrected energy: -2.46 eV/atom